No. 1
5
Lattice="5.788 0.000 0.000 0.000 5.788 0.000 0.000 0.000 5.788" Properties=species:S:1:pos:R:3 comment="CsBaAs3 GGA-PBE optimized geometry" magnetic_moment_mub_per_fu=0.0 dos_at_fermi_per_ev_atom=1.333 crystal_system=cubic energy_ev_per_atom=-2.645 ef_mev_per_atom=700 pbc="T T T"
Cs 0.000 0.000 0.000
Ba 2.894 2.894 2.894
As 0.000 0.000 2.894
As 0.000 2.894 0.000
As 2.894 0.000 0.000

---

No. 2
8
Lattice="4.622 0.000 0.000 0.000 4.622 0.000 0.000 0.000 9.250" Properties=species:S:1:pos:R:3 comment="KSi2Pb GGA-PBE optimized geometry" magnetic_moment_mub_per_fu=0.0 dos_at_fermi_per_ev_atom=0.490 crystal_system=tetragonal energy_ev_per_atom=-3.328 raw_formation_energy_ev_per_atom=0.585 pbc="T T T"
K 0.000 0.000 0.000
K 2.311 2.311 4.625
Si 0.000 0.000 4.625
Si 0.000 2.311 2.312
Si 2.311 0.000 6.937
Si 2.311 2.311 0.000
Pb 0.000 2.311 6.937
Pb 2.311 0.000 2.312